# 1
# KCr20O40

A geometry-optimized KCr20O40 structure (GGA-PBEsol, Alexandria).

Properties
total moment: 41.0 μB/cell
energy relative to the elements, uncorrected: -43.565 kcal/mol of atoms
calculated volume: 11.2 Å³/atom

a b c (Å): 9.737 9.976 9.737
angles (deg): 60.79 90.00 119.21
Site moments in Bohr magnetons follow the coordinates.
Sites, in units of the cell vectors:
K: 0.000 0.000 0.000  0.00
Cr: 0.049 0.400 0.134  2.10
Cr: 0.649 0.600 0.534  2.10
Cr: 0.249 0.800 0.934  2.09
Cr: 0.847 0.000 0.336  2.09
Cr: 0.449 0.200 0.734  2.09
Cr: 0.153 0.000 0.664  2.09
Cr: 0.751 0.200 0.066  2.09
Cr: 0.351 0.400 0.466  2.10
Cr: 0.951 0.600 0.866  2.10
Cr: 0.551 0.800 0.266  2.09
Cr: 0.266 0.200 0.249  2.09
Cr: 0.866 0.400 0.649  2.10
Cr: 0.466 0.600 0.049  2.10
Cr: 0.066 0.800 0.449  2.09
Cr: 0.664 0.000 0.847  2.09
Cr: 0.934 0.200 0.551  2.09
Cr: 0.534 0.400 0.951  2.10
Cr: 0.134 0.600 0.351  2.10
Cr: 0.734 0.800 0.751  2.09
Cr: 0.336 0.000 0.153  2.09
O: 0.240 0.400 0.138  -0.09
O: 0.840 0.600 0.538  -0.09
O: 0.439 0.800 0.938  -0.10
O: 0.039 0.000 0.337  -0.08
O: 0.640 0.200 0.738  -0.10
O: 0.961 0.000 0.663  -0.08
O: 0.561 0.200 0.062  -0.10
O: 0.160 0.400 0.462  -0.09
O: 0.760 0.600 0.862  -0.09
O: 0.360 0.800 0.262  -0.10
O: 0.262 0.200 0.439  -0.10
O: 0.862 0.400 0.840  -0.09
O: 0.462 0.600 0.240  -0.09
O: 0.062 0.800 0.640  -0.10
O: 0.663 0.000 0.039  -0.08
O: 0.938 0.200 0.360  -0.10
O: 0.538 0.400 0.760  -0.09
O: 0.138 0.600 0.160  -0.09
O: 0.738 0.800 0.561  -0.10
O: 0.337 0.000 0.961  -0.08
O: 0.255 0.199 0.696  -0.01
O: 0.857 0.399 0.094  -0.02
O: 0.458 0.601 0.493  -0.02
O: 0.056 0.801 0.895  -0.01
O: 0.657 0.000 0.294  -0.02
O: 0.944 0.199 0.105  -0.01
O: 0.542 0.399 0.507  -0.02
O: 0.143 0.601 0.906  -0.02
O: 0.745 0.801 0.304  -0.01
O: 0.343 0.000 0.706  -0.02
O: 0.706 0.000 0.657  -0.02
O: 0.304 0.199 0.056  -0.01
O: 0.906 0.399 0.458  -0.02
O: 0.507 0.601 0.857  -0.02
O: 0.105 0.801 0.255  -0.01
O: 0.493 0.399 0.143  -0.02
O: 0.094 0.601 0.542  -0.02
O: 0.696 0.801 0.944  -0.01
O: 0.294 0.000 0.343  -0.02
O: 0.895 0.199 0.745  -0.01

***

# 2
# KCr3O8

A geometry-optimized KCr3O8 structure (GGA-PBEsol, Alexandria).

Properties
total moment: 3.0 μB/cell
energy relative to the elements, uncorrected: -43.457 kcal/mol of atoms
calculated volume: 14.7 Å³/atom

a b c (Å): 5.083 5.083 7.602
angles (deg): 86.49 86.49 64.39
Site moments in Bohr magnetons follow the coordinates.
Sites, in units of the cell vectors:
K: 0.000 0.000 0.000  0.00
Cr: 0.000 0.000 0.500  2.40
Cr: 0.632 0.632 0.705  0.25
Cr: 0.368 0.368 0.295  0.25
O: 0.783 0.783 0.559  -0.05
O: 0.217 0.217 0.441  -0.05
O: 0.315 0.315 0.097  0.02
O: 0.685 0.685 0.903  0.02
O: 0.730 0.221 0.322  0.00
O: 0.779 0.270 0.678  0.00
O: 0.270 0.779 0.678  0.00
O: 0.221 0.730 0.322  0.00

***

# 3
# KCr4O8

A geometry-optimized KCr4O8 structure (GGA-PBEsol, Alexandria).

Properties
total moment: 9.0 μB/cell
energy relative to the elements, uncorrected: -45.575 kcal/mol of atoms
calculated volume: 10.6 Å³/atom

a b c (Å): 2.926 7.007 7.007
angles (deg): 87.50 77.95 77.95
Site moments in Bohr magnetons follow the coordinates.
Sites, in units of the cell vectors:
K: 0.500 0.000 0.000  0.00
Cr: 0.836 0.512 0.816  2.25
Cr: 0.164 0.488 0.184  2.25
Cr: 0.348 0.816 0.488  2.25
Cr: 0.652 0.184 0.512  2.25
O: 0.799 0.355 0.048  0.01
O: 0.201 0.645 0.952  0.01
O: 0.153 0.048 0.645  0.01
O: 0.847 0.952 0.355  0.01
O: 0.837 0.703 0.622  -0.09
O: 0.163 0.297 0.378  -0.09
O: 0.541 0.622 0.297  -0.09
O: 0.459 0.378 0.703  -0.09

***

# 4
# KCrP2O7

A geometry-optimized KCrP2O7 structure (GGA-PBEsol, Alexandria).

Properties
total moment: 12.0 μB/cell
energy relative to the elements, uncorrected: -51.403 kcal/mol of atoms
calculated volume: 12.9 Å³/atom

a b c (Å): 7.335 8.181 9.888
angles (deg): 90.00 90.00 106.98
Site moments in Bohr magnetons follow the coordinates.
Sites, in units of the cell vectors:
K: 0.676 0.554 0.323  0.00
K: 0.324 0.946 0.823  0.00
K: 0.324 0.446 0.677  0.00
K: 0.676 0.054 0.177  0.00
Cr: 0.265 0.237 0.100  2.77
Cr: 0.735 0.263 0.600  2.77
Cr: 0.735 0.763 0.900  2.77
Cr: 0.265 0.737 0.400  2.77
P: 0.059 0.307 0.363  0.01
P: 0.941 0.193 0.863  0.01
P: 0.941 0.693 0.637  0.01
P: 0.059 0.807 0.137  0.01
P: 0.367 0.167 0.403  0.01
P: 0.633 0.333 0.903  0.01
P: 0.633 0.833 0.597  0.01
P: 0.367 0.667 0.097  0.01
O: 0.359 0.982 0.407  0.01
O: 0.641 0.518 0.907  0.01
O: 0.641 0.018 0.593  0.01
O: 0.359 0.482 0.093  0.01
O: 0.418 0.748 0.237  0.00
O: 0.582 0.752 0.737  0.00
O: 0.582 0.252 0.763  0.00
O: 0.418 0.248 0.263  0.00
O: 0.495 0.720 0.495  0.00
O: 0.505 0.780 0.995  0.00
O: 0.505 0.280 0.505  0.00
O: 0.495 0.220 0.005  0.00
O: 0.159 0.182 0.443  0.00
O: 0.841 0.318 0.943  0.00
O: 0.841 0.818 0.557  0.00
O: 0.159 0.682 0.057  0.00
O: 0.048 0.754 0.287  0.00
O: 0.952 0.746 0.787  0.00
O: 0.952 0.246 0.713  0.00
O: 0.048 0.254 0.213  0.00
O: 0.857 0.765 0.081  0.00
O: 0.143 0.735 0.581  0.00
O: 0.143 0.235 0.919  0.00
O: 0.857 0.265 0.419  0.00
O: 0.184 0.986 0.105  0.01
O: 0.816 0.514 0.605  0.01
O: 0.816 0.014 0.895  0.01
O: 0.184 0.486 0.395  0.01

***

# 5
# K2CrSO7

A geometry-optimized K2CrSO7 structure (GGA-PBEsol, Alexandria).

Properties
total moment: 0.0 μB/cell
energy relative to the elements, uncorrected: -42.017 kcal/mol of atoms
calculated volume: 15.9 Å³/atom

a b c (Å): 7.346 7.355 12.925
angles (deg): 87.74 90.00 90.00
Sites, in units of the cell vectors:
K: 0.613 0.629 0.345
K: 0.778 0.313 0.138
K: 0.113 0.871 0.155
K: 0.722 0.813 0.638
K: 0.222 0.687 0.862
K: 0.278 0.187 0.362
K: 0.387 0.371 0.655
K: 0.887 0.129 0.845
Cr: 0.666 0.822 0.080
Cr: 0.334 0.178 0.920
Cr: 0.166 0.678 0.420
Cr: 0.834 0.322 0.580
S: 0.286 0.392 0.116
S: 0.786 0.108 0.384
S: 0.714 0.608 0.884
S: 0.214 0.892 0.616
O: 0.281 0.818 0.346
O: 0.918 0.062 0.305
O: 0.910 0.204 0.468
O: 0.154 0.256 0.153
O: 0.797 0.990 0.045
O: 0.781 0.682 0.154
O: 0.418 0.438 0.195
O: 0.203 0.010 0.955
O: 0.009 0.394 0.640
O: 0.590 0.704 0.968
O: 0.702 0.951 0.437
O: 0.082 0.938 0.695
O: 0.202 0.549 0.063
O: 0.346 0.756 0.653
O: 0.703 0.490 0.545
O: 0.298 0.049 0.563
O: 0.991 0.606 0.360
O: 0.090 0.796 0.532
O: 0.509 0.106 0.860
O: 0.654 0.244 0.347
O: 0.719 0.182 0.654
O: 0.798 0.451 0.937
O: 0.491 0.894 0.140
O: 0.582 0.562 0.805
O: 0.410 0.296 0.032
O: 0.297 0.510 0.455
O: 0.846 0.744 0.847
O: 0.219 0.318 0.846

***

# 6
# KCr2TcO

A geometry-optimized KCr2TcO structure (GGA-PBEsol, Alexandria).

Properties
total moment: 3.3 μB/cell
energy relative to the elements, uncorrected: 15.427 kcal/mol of atoms
calculated volume: 14.8 Å³/atom

a b c (Å): 3.968 3.968 4.697
angles (deg): 90.00 90.00 90.00
Site moments in Bohr magnetons follow the coordinates.
Sites, in units of the cell vectors:
Cr: 0.000 0.500 0.000  2.65
Cr: 0.500 0.000 0.000  2.65
K: 0.000 0.000 0.500  -0.04
Tc: 0.500 0.500 0.500  -2.16
O: 0.000 0.000 0.000  0.00

***

# 7
# KCr2Os

A geometry-optimized KCr2Os structure (GGA-PBEsol, Alexandria).

Properties
total moment: 1.5 μB/cell
energy relative to the lowest polymorph listed for this composition: 0 meV/atom
ΔE_f: 943.0 meV/atom
calculated volume: 18.7 Å³/atom

a b c (Å): 2.770 3.383 8.002
angles (deg): 90.00 90.04 90.00
Site moments in Bohr magnetons follow the coordinates.
Sites, in units of the cell vectors:
Cr: 0.002 0.000 0.996  -1.05
Cr: 0.501 0.500 0.147  2.17
K: 0.997 0.000 0.509  0.03
Os: 0.501 0.500 0.847  0.06

***

# 8
# KCrOs3

A geometry-optimized KCrOs3 structure (GGA-PBEsol, Alexandria).

Properties
total moment: 0.6 μB/cell
ΔE_f: 1881.7 meV/atom
calculated volume: 18.4 Å³/atom

a b c (Å): 4.517 4.517 4.517
angles (deg): 90.00 90.00 90.00
Site moments in Bohr magnetons follow the coordinates.
Sites, in units of the cell vectors:
Cr: 0.000 0.000 0.000  -0.06
K: 0.500 0.500 0.500  0.00
Os: 0.000 0.500 0.000  0.21
Os: 0.000 0.000 0.500  0.21
Os: 0.500 0.000 0.000  0.21

***

# 9
# KCr2Os

A geometry-optimized KCr2Os structure (GGA-PBEsol, Alexandria).

Properties
total moment: 1.5 μB/cell
energy relative to the lowest polymorph listed for this composition: 659 meV/atom
ΔE_f: 1601.7 meV/atom
calculated volume: 15.9 Å³/atom

a b c (Å): 4.483 4.483 4.483
angles (deg): 60.00 60.00 60.00
Site moments in Bohr magnetons follow the coordinates.
Sites, in units of the cell vectors:
Cr: 0.000 0.000 0.000  -2.44
Cr: 0.750 0.750 0.750  3.17
K: 0.500 0.500 0.500  0.05
Os: 0.250 0.250 0.250  0.55

***

# 10
# K2CrOs

A geometry-optimized K2CrOs structure (GGA-PBEsol, Alexandria).

Properties
total moment: 6.6 μB/cell
ΔE_f: 2182.7 meV/atom
calculated volume: 26.2 Å³/atom

a b c (Å): 5.290 5.290 5.290
angles (deg): 60.00 60.00 60.00
Site moments in Bohr magnetons follow the coordinates.
Sites, in units of the cell vectors:
Cr: 0.000 0.000 0.000  4.13
K: 0.250 0.250 0.250  0.04
K: 0.750 0.750 0.750  0.04
Os: 0.500 0.500 0.500  1.41

***

# 11
# KRbCrOs2

A geometry-optimized KRbCrOs2 structure (GGA-PBEsol, Alexandria).

Properties
total moment: 6.5 μB/cell
ΔE_f: 3385.3 meV/atom
calculated volume: 25.0 Å³/atom

a b c (Å): 5.178 4.917 4.917
angles (deg): 90.00 90.00 90.00
Site moments in Bohr magnetons follow the coordinates.
Sites, in units of the cell vectors:
Cr: 0.500 0.000 0.000  4.05
K: 0.500 0.500 0.500  0.01
Os: 0.000 0.000 0.500  0.83
Os: 0.000 0.500 0.000  0.83
Rb: 0.000 0.000 0.000  0.07

***

# 12
# KCrP

A geometry-optimized KCrP structure (GGA-PBEsol, Alexandria).

Properties
total moment: 4.0 μB/cell
ΔE_f: 55.7 meV/atom
calculated volume: 25.0 Å³/atom

a b c (Å): 4.072 4.072 5.227
angles (deg): 90.00 90.00 120.00
Site moments in Bohr magnetons follow the coordinates.
Sites, in units of the cell vectors:
Cr: 0.000 0.000 0.500  3.47
K: 0.333 0.667 0.000  0.03
P: 0.667 0.333 0.500  -0.16